DFT (PBE) results for a relaxed structure of TlRu.

Cell lengths 5.3011, 5.3011, 5.3011 Å; angles 90.00, 90.00, 90.00 degrees
Space group P2_13 (No. 198)
One atom of each set of equivalent atoms:
Tl: 0.0944 0.0944 0.0944 x4
Ru: 0.1062 0.6062 0.8938 x4

DFT (PBE) results for a relaxed structure of TlRu4.

Cell lengths 4.9159, 4.9159, 4.9159 Å; angles 90.00, 90.00, 90.00 degrees
Space group Pm-3m (No. 221)
One atom of each set of equivalent atoms:
Tl: 0.0000 0.0000 0.0000 x1
Ru: 0.0000 0.0000 0.5000 x3
Ru: 0.5000 0.5000 0.5000 x1

## Properties
energy above the most stable polymorph in this dataset	11.60	eV/f.u.

DFT (PBE) results for a relaxed structure of Tl3Ru.

Cell lengths 4.5549, 4.5549, 4.5549 Å; angles 90.00, 90.00, 90.00 degrees
Space group Pm-3m (No. 221)
One atom of each set of equivalent atoms:
Tl: 0.0000 0.0000 0.5000 x3
Ru: 0.5000 0.5000 0.5000 x1

## Properties
energy above the most stable polymorph in this dataset	1.87	eV/f.u.

DFT (PBE) results for a relaxed structure of TlRu.

Cell lengths 3.0621, 3.0621, 28.7252 Å; angles 90.00, 90.00, 120.00 degrees
Space group R-3m (No. 166, hexagonal axes)
One atom of each set of equivalent atoms:
Tl: 0.0000 0.0000 0.1160 x6
Ru: 0.0000 0.0000 0.3665 x6

DFT (PBE) results for a relaxed structure of TlRu.

Cell lengths 6.8788, 6.8788, 6.9696 Å; angles 90.00, 90.00, 90.00 degrees
Space group P4_12_12 (No. 92)
One atom of each set of equivalent atoms:
Tl: 0.0690 0.2308 0.3051 x8
Ru: 0.0857 0.6666 0.2039 x8

DFT (PBE) results for a relaxed structure of Tl2Ru.

Cell lengths 11.9631, 3.1496, 7.8551 Å; angles 90.00, 115.11, 90.00 degrees
Space group C2/m (No. 12)
One atom of each set of equivalent atoms:
Tl: 0.0456 0.0000 0.2290 x4
Tl: 0.1658 0.5000 0.6495 x4
Ru: 0.1650 0.5000 0.0170 x4

DFT (PBE) results for a relaxed structure of Tl2Ru.

Cell lengths 4.9205, 4.9205, 6.0961 Å; angles 90.00, 90.00, 120.00 degrees
Space group P6_3/mmc (No. 194)
One atom of each set of equivalent atoms:
Tl: 0.0000 0.0000 0.0000 x2
Tl: 0.3333 0.6667 0.2500 x2
Ru: 0.3333 0.6667 0.7500 x2

DFT (PBE) results for a relaxed structure of Tl3Ru.

Cell lengths 5.6649, 5.6649, 5.6649 Å; angles 90.00, 90.00, 90.00 degrees
Space group Pm-3n (No. 223)
One atom of each set of equivalent atoms:
Tl: 0.0000 0.2500 0.5000 x6
Ru: 0.0000 0.0000 0.0000 x2

## Properties
energy above the most stable polymorph in this dataset	1.63	eV/f.u.

DFT (PBE) results for a relaxed structure of Tl2Ru.

Cell lengths 12.6338, 3.0588, 7.9075 Å; angles 90.00, 90.84, 90.00 degrees
Space group Cm (No. 8)
One atom of each set of equivalent atoms:
Tl: 0.0000 0.0000 0.0000 x2
Tl: 0.0718 0.0000 0.4234 x2
Tl: 0.2423 0.5000 0.0738 x2
Tl: 0.3406 0.0000 0.7000 x2
Ru: 0.2592 0.5000 0.4306 x2
Ru: 0.3997 0.0000 0.2939 x2

DFT (PBE) results for a relaxed structure of Tl2Ru.

Cell lengths 7.8950, 7.8950, 3.5314 Å; angles 90.00, 90.00, 120.00 degrees
Space group P-62m (No. 189)
One atom of each set of equivalent atoms:
Tl: 0.0000 0.2713 0.0000 x3
Tl: 0.0000 0.5999 0.5000 x3
Ru: 0.0000 0.0000 0.5000 x1
Ru: 0.3333 0.6667 0.0000 x2

DFT (PBE) results for a relaxed structure of Tl8Ru.

Cell lengths 12.3866, 12.3866, 3.4072 Å; angles 90.00, 90.00, 90.00 degrees
Space group I4/mmm (No. 139)
One atom of each set of equivalent atoms:
Tl: 0.0000 0.3315 0.0000 x8
Tl: 0.1364 0.1364 0.5000 x8
Ru: 0.0000 0.0000 0.0000 x2

DFT (PBE) results for a relaxed structure of Tl3Ru.

Cell lengths 7.3405, 7.3567, 3.4235 Å; angles 90.00, 90.00, 90.00 degrees
Space group Cmmm (No. 65)
One atom of each set of equivalent atoms:
Tl: 0.0000 0.0000 0.0000 x2
Tl: 0.2500 0.2500 0.5000 x4
Ru: 0.0000 0.5000 0.0000 x2

## Properties
energy above the most stable polymorph in this dataset	1.62	eV/f.u.

DFT (PBE) results for a relaxed structure of Tl5Ru.

Cell lengths 8.7843, 8.7843, 8.7843 Å; angles 90.00, 90.00, 90.00 degrees
Space group F-43m (No. 216)
One atom of each set of equivalent atoms:
Tl: 0.0000 0.0000 0.0000 x4
Tl: 0.1243 0.1243 0.6243 x16
Ru: 0.2500 0.2500 0.2500 x4

## Properties
energy above the most stable polymorph in this dataset	2.94	eV/f.u.

DFT (PBE) results for a relaxed structure of TlRu.

Cell lengths 3.1413, 3.1413, 13.0044 Å; angles 90.00, 90.00, 120.00 degrees
Space group R-3m (No. 166, hexagonal axes)
One atom of each set of equivalent atoms:
Tl: 0.0000 0.0000 0.0000 x3
Ru: 0.0000 0.0000 0.5000 x3

DFT (PBE) results for a relaxed structure of Tl3Ru.

Cell lengths 4.2695, 4.2695, 21.1013 Å; angles 90.00, 90.00, 90.00 degrees
Space group I4/mmm (No. 139)
One atom of each set of equivalent atoms:
Tl: 0.0000 0.0000 0.1264 x4
Tl: 0.0000 0.5000 0.0000 x4
Tl: 0.0000 0.5000 0.2500 x4
Ru: 0.0000 0.0000 0.3437 x4

## Properties
energy above the most stable polymorph in this dataset	1.41	eV/f.u.

DFT (PBE) results for a relaxed structure of TlRu5.

Cell lengths 4.3819, 2.8338, 14.8134 Å; angles 90.00, 90.00, 90.00 degrees
Space group Amm2 (No. 38)
One atom of each set of equivalent atoms:
Tl: 0.0000 0.0000 0.0000 x2
Ru: 0.0000 0.0000 0.3205 x2
Ru: 0.0000 0.0000 0.6753 x2
Ru: 0.5000 0.0000 0.1180 x2
Ru: 0.5000 0.0000 0.4303 x2
Ru: 0.5000 0.0000 0.7757 x2

## Properties
energy above the most stable polymorph in this dataset	0.32	eV/f.u.

DFT (PBE) results for a relaxed structure of TlRu.

Cell lengths 3.1434, 3.1434, 4.3367 Å; angles 90.00, 90.00, 120.00 degrees
Space group P-6m2 (No. 187)
One atom of each set of equivalent atoms:
Tl: 0.0000 0.0000 0.0000 x1
Ru: 0.3333 0.6667 0.5000 x1

DFT (PBE) results for a relaxed structure of Tl3Ru.

Cell lengths 6.3481, 6.3481, 5.3206 Å; angles 90.00, 90.00, 120.00 degrees
Space group P6_3/mmc (No. 194)
One atom of each set of equivalent atoms:
Tl: 0.1721 0.3442 0.2500 x6
Ru: 0.3333 0.6667 0.7500 x2

## Properties
energy above the most stable polymorph in this dataset	1.66	eV/f.u.

DFT (PBE) results for a relaxed structure of TlRu.

Cell lengths 8.2848, 8.2848, 8.2848 Å; angles 90.00, 90.00, 90.00 degrees
Space group I-43m (No. 217)
One atom of each set of equivalent atoms:
Tl: 0.2057 0.2057 0.7943 x8
Ru: 0.1073 0.1073 0.1073 x8

DFT (PBE) results for a relaxed structure of Tl3Ru.

Cell lengths 3.6730, 4.7586, 5.7024 Å; angles 90.00, 102.94, 90.00 degrees
Space group P2/m (No. 10)
One atom of each set of equivalent atoms:
Tl: 0.0000 0.0000 0.0000 x1
Tl: 0.3469 0.5000 0.7238 x2
Ru: 0.0000 0.0000 0.5000 x1

## Properties
energy above the most stable polymorph in this dataset	1.13	eV/f.u.

DFT (PBE) results for a relaxed structure of Tl2Ru.

Cell lengths 8.9416, 3.2175, 10.1497 Å; angles 90.00, 90.00, 90.00 degrees
Space group Pnma (No. 62)
One atom of each set of equivalent atoms:
Tl: 0.0000 0.2500 0.2494 x4
Tl: 0.2493 0.2500 0.5120 x4
Ru: 0.2501 0.2500 0.7837 x4

DFT (PBE) results for a relaxed structure of TlRu5.

Cell lengths 7.2720, 7.2720, 7.2720 Å; angles 90.00, 90.00, 90.00 degrees
Space group F-43m (No. 216)
One atom of each set of equivalent atoms:
Tl: 0.0000 0.0000 0.0000 x4
Ru: 0.1244 0.1244 0.3756 x16
Ru: 0.2500 0.2500 0.7500 x4

## Properties
energy above the most stable polymorph in this dataset	2.44	eV/f.u.

DFT (PBE) results for a relaxed structure of Tl3Ru.

Cell lengths 3.3982, 3.3982, 29.3115 Å; angles 90.00, 90.00, 120.00 degrees
Space group R-3m (No. 166, hexagonal axes)
One atom of each set of equivalent atoms:
Tl: 0.0000 0.0000 0.0000 x3
Tl: 0.0000 0.0000 0.2356 x6
Ru: 0.0000 0.0000 0.5000 x3

## Properties
energy above the most stable polymorph in this dataset	0.80	eV/f.u.

DFT (PBE) results for a relaxed structure of Tl2Ru.

Cell lengths 3.2949, 3.2949, 7.0823 Å; angles 90.00, 90.00, 120.00 degrees
Space group P-3m1 (No. 164)
One atom of each set of equivalent atoms:
Tl: 0.3333 0.6667 0.2973 x2
Ru: 0.0000 0.0000 0.0000 x1

DFT (PBE) results for a relaxed structure of TlRu.

Cell lengths 4.0197, 4.0197, 9.2878 Å; angles 90.00, 90.00, 90.00 degrees
Space group I4_1/amd (No. 141, origin choice 2)
One atom of each set of equivalent atoms:
Tl: 0.0000 0.2500 0.3750 x4
Ru: 0.0000 0.2500 0.8750 x4

DFT (PBE) results for a relaxed structure of Tl2Ru.

Cell lengths 5.8203, 5.8203, 10.6316 Å; angles 90.00, 90.00, 120.00 degrees
Space group P6_3/mmc (No. 194)
One atom of each set of equivalent atoms:
Tl: 0.0000 0.0000 0.0000 x2
Tl: 0.1692 0.3384 0.2500 x6
Ru: 0.3333 0.6667 0.0266 x4

Total DFT energy (no corrections) values (in eV per atom) by entry order: -5.116, -5.128, -3.384, -5.218, -5.351, -4.203, -3.877, -3.444, -4.210, -4.121, -2.893, -3.447, -2.774, -5.135, -3.500, -7.748, -5.149, -3.436, -4.794, -3.570, -4.302, -7.395, -3.653, -4.076, -5.012, -3.489.
ΔH_f (0 K) values (in eV/atom) by entry order: 0.7054, 2.7658, 0.7095, 0.6030, 0.4702, 0.4663, 0.7927, 0.6493, 0.4596, 0.5488, 0.2407, 0.6466, 0.7441, 0.6858, 0.5937, 0.3761, 0.6725, 0.6574, 1.0276, 0.5241, 0.3675, 0.7294, 0.4412, 0.5936, 0.8090, 1.1801.